No. 1
DFT (GGA-PBE) results for a geometry-optimized Ba2ZrNb2 structure.

The structure belongs to space group I4/mmm (No. 139); the cell edges are 3.687, 3.687 and 24.528 Å and the angles 90.00°, 90.00° and 90.00°. The inequivalent atoms are Ba at (0.000, 0.000, 0.115), Zr at (0.000, 0.000, 0.500) and Nb at (0.000, 0.500, 0.250).

The calculation puts the energy relative to the elements at 0.8999 eV/atom. The value obtained for the energy relative to the lowest polymorph listed for this composition is 0.0000 eV/atom.


No. 2
DFT (GGA-PBE) results for a geometry-optimized MgPaRe4 structure.

The structure belongs to space group F-43m (No. 216); the cell edges are 7.585, 7.585 and 7.585 Å and the angles 90.00°, 90.00° and 90.00°. The inequivalent atoms are Mg at (0.000, 0.000, 0.000), Pa at (0.250, 0.250, 0.250) and Re at (0.126, 0.126, 0.626).

The calculation puts the energy relative to the elements at 0.0696 eV/atom.


No. 3
DFT (GGA-PBE) results for a geometry-optimized YCdAgTe2 structure.

The structure belongs to space group P4/mmm (No. 123); the cell edges are 5.623, 5.623 and 5.005 Å and the angles 90.00°, 90.00° and 90.00°. The inequivalent atoms are Y at (0.000, 0.000, 0.000), Cd at (0.500, 0.500, 0.500), Ag at (0.500, 0.500, 0.000) and Te at (0.000, 0.500, 0.500).

Its uncorrected formation energy is 0.08 eV per atom.


No. 4
DFT (GGA-PBE) results for a geometry-optimized Sm2HoZr structure.

The structure belongs to space group R3m (No. 160, hexagonal axes); the cell edges are 3.4878, 3.4878 and 33.9622 Å and the angles 90.00°, 90.00° and 120.00°. The inequivalent atoms are Sm at (0.0000, 0.0000, 0.0000), Sm at (0.0000, 0.0000, 0.1754), Ho at (0.0000, 0.0000, 0.4205) and Zr at (0.0000, 0.0000, 0.5880).

The calculation puts the energy relative to the elements at 0.1077 eV/atom. The value obtained for the energy relative to the lowest polymorph listed for this composition is 0.0000 eV/atom.


No. 5
DFT (GGA-PBE) results for a geometry-optimized La2MgW structure.

The structure belongs to space group Fm-3m (No. 225); the cell edges are 7.468, 7.468 and 7.468 Å and the angles 90.00°, 90.00° and 90.00°. The inequivalent atoms are La at (0.250, 0.250, 0.250), Mg at (0.000, 0.000, 0.000) and W at (0.000, 0.000, 0.500).

The calculation puts the energy relative to the elements at 0.4362 eV/atom. The value obtained for the energy relative to the lowest polymorph listed for this composition is 0.0508 eV/atom.


No. 6
DFT (GGA-PBE) results for a geometry-optimized Tb5TlTc2 structure.

The structure belongs to space group I4/mcm (No. 140); the cell edges are 7.584, 7.584 and 14.772 Å and the angles 90.00°, 90.00° and 90.00°. The inequivalent atoms are Tb at (0.000, 0.000, 0.000), Tb at (0.175, 0.325, 0.135), Tl at (0.000, 0.000, 0.250) and Tc at (0.115, 0.385, 0.500).

The calculation puts the energy relative to the elements at -0.1379 eV/atom.


Please write out number 6 again, unchanged.
DFT (GGA-PBE) results for a geometry-optimized Tb5TlTc2 structure.

The structure belongs to space group I4/mcm (No. 140); the cell edges are 7.584, 7.584 and 14.772 Å and the angles 90.00°, 90.00° and 90.00°. The inequivalent atoms are Tb at (0.000, 0.000, 0.000), Tb at (0.175, 0.325, 0.135), Tl at (0.000, 0.000, 0.250) and Tc at (0.115, 0.385, 0.500).

The calculation puts the energy relative to the elements at -0.1379 eV/atom.